[1]
{
  "formula": "K2HfTa",
  "functional": "GGA-PBE",
  "state": "optimized geometry",
  "vol_a3_per_atom": 29.8,
  "dos_ef_per_ev_fu": 9.51,
  "m_tot_mub_per_cell": 0.00,
  "polymorph_energy_ev_per_fu": 1.581,
  "total_energy_ev_per_atom": -3.810,
  "cell": [[0.0000, 3.9082, 3.9082], [3.9082, 0.0000, 3.9082], [3.9082, 3.9082, 0.0000]],
  "species": ["K", "K", "Hf", "Ta"],
  "frac_coords": [[0.2500, 0.2500, 0.2500], [0.7500, 0.7500, 0.7500], [0.0000, 0.0000, 0.0000], [0.5000, 0.5000, 0.5000]]
}

[2]
{
  "formula": "Ce2HoTh",
  "functional": "GGA-PBE",
  "state": "optimized geometry",
  "vol_a3_per_atom": 30.1,
  "dos_ef_per_ev_fu": 9.74,
  "m_tot_mub_per_cell": 0.61,
  "polymorph_energy_ev_per_fu": 0.146,
  "total_energy_ev_per_atom": -5.874,
  "cell": [[1.7369, 1.0028, 11.5178], [-1.7369, 1.0028, 11.5178], [0.0000, -2.0056, 11.5178]],
  "species": ["Ce", "Ce", "Ho", "Th"],
  "frac_coords": [[0.0000, 0.0000, 0.0000], [0.1660, 0.1660, 0.1660], [0.5839, 0.5839, 0.5839], [0.4164, 0.4164, 0.4164]]
}

[3]
{
  "formula": "Nd13Y3",
  "functional": "GGA-PBE",
  "state": "optimized geometry",
  "vol_a3_per_atom": 35.0,
  "dos_ef_per_ev_fu": 28.38,
  "m_tot_mub_per_cell": 0.00,
  "total_energy_ev_per_atom": -5.057,
  "cell": [[7.4009, 0.0000, 0.0000], [0.0000, 5.9134, 6.4060], [0.0000, -5.9134, 6.4060]],
  "species": ["Nd", "Nd", "Nd", "Nd", "Nd", "Nd", "Nd", "Nd", "Nd", "Nd", "Nd", "Nd", "Nd", "Y", "Y", "Y"],
  "frac_coords": [[0.0000, 0.0000, 0.0000], [0.0000, 0.4195, 0.9154], [0.0000, 0.5009, 0.5009], [0.0000, 0.9154, 0.4195], [0.2502, 0.2502, 0.2502], [0.2509, 0.1656, 0.6697], [0.2509, 0.6697, 0.1656], [0.5000, 0.4189, 0.9163], [0.5000, 0.5016, 0.5016], [0.5000, 0.9163, 0.4189], [0.7491, 0.1656, 0.6697], [0.7491, 0.6697, 0.1656], [0.7498, 0.2502, 0.2502], [0.2503, 0.7518, 0.7518], [0.5000, 0.9994, 0.9994], [0.7497, 0.7518, 0.7518]]
}

[4]
{
  "formula": "KZnSbS3",
  "functional": "GGA-PBE",
  "state": "optimized geometry",
  "vol_a3_per_atom": 27.9,
  "dos_ef_per_ev_fu": 0.00,
  "m_tot_mub_per_cell": 0.00,
  "total_energy_ev_per_atom": -3.875,
  "cell": [[9.1720, 0.0000, 0.0000], [0.0000, 3.9697, 0.0000], [-1.8448, 0.0000, 9.1915]],
  "species": ["K", "K", "Zn", "Zn", "Sb", "Sb", "S", "S", "S", "S", "S", "S"],
  "frac_coords": [[0.1672, 0.2500, 0.2129], [0.8328, 0.7500, 0.7871], [0.0946, 0.2500, 0.5970], [0.9054, 0.7500, 0.4030], [0.3558, 0.7500, 0.8553], [0.6442, 0.2500, 0.1447], [0.1527, 0.2500, 0.8544], [0.1728, 0.7500, 0.4924], [0.4153, 0.7500, 0.1240], [0.5847, 0.2500, 0.8760], [0.8272, 0.2500, 0.5076], [0.8473, 0.7500, 0.1456]]
}

[5]
{
  "formula": "Ba4Na",
  "functional": "GGA-PBE",
  "state": "optimized geometry",
  "vol_a3_per_atom": 67.1,
  "dos_ef_per_ev_fu": 9.28,
  "m_tot_mub_per_cell": 0.00,
  "polymorph_energy_ev_per_fu": 0.983,
  "total_energy_ev_per_atom": -1.584,
  "cell": [[6.9496, 0.0000, 0.0000], [0.0000, 6.9496, 0.0000], [0.0000, 0.0000, 6.9496]],
  "species": ["Ba", "Ba", "Ba", "Ba", "Na"],
  "frac_coords": [[0.0000, 0.0000, 0.0000], [0.0000, 0.5000, 0.5000], [0.5000, 0.0000, 0.5000], [0.5000, 0.5000, 0.0000], [0.5000, 0.5000, 0.5000]]
}

[6]
{
  "formula": "ReRhBr2",
  "functional": "GGA-PBE",
  "state": "optimized geometry",
  "vol_a3_per_atom": 16.9,
  "dos_ef_per_ev_fu": 5.58,
  "m_tot_mub_per_cell": 0.00,
  "polymorph_energy_ev_per_fu": 3.905,
  "total_energy_ev_per_atom": -4.552,
  "cell": [[0.0000, 3.2304, 3.2304], [3.2304, 0.0000, 3.2304], [3.2304, 3.2304, 0.0000]],
  "species": ["Re", "Rh", "Br", "Br"],
  "frac_coords": [[0.0000, 0.0000, 0.0000], [0.5000, 0.5000, 0.5000], [0.2500, 0.2500, 0.2500], [0.7500, 0.7500, 0.7500]]
}